First-principles (PBE-GGA) data for a geometry-optimized Sm2Tm6Sc3 structure, as listed in the Alexandria database.

The formation energy comes out at 202.4 meV/atom. The density of states at the Fermi level comes out at 17.84 states/eV/f.u. The value obtained for the calculated volume is 30.9 Å³/atom. The calculated total energy comes out at -4.821 eV per atom.

The structure belongs to space group C2/m (No. 12); the cell edges are 5.933, 10.295 and 11.313 Å and the angles 90.00°, 100.20° and 90.00°. The asymmetric unit holds Sm at (0.000, 0.166, 0.000), Tm at (0.247, 0.167, 0.739), Tm at (0.248, 0.500, 0.740), Sc at (0.000, 0.000, 0.500) and Sc at (0.000, 0.335, 0.500).

=====

First-principles (PBE-GGA) data for a geometry-optimized Sm4Tm4Sc structure, as listed in the Alexandria database.

The formation energy comes out at 35.4 meV/atom. The density of states at the Fermi level comes out at 14.43 states/eV/f.u. The value obtained for the calculated volume is 31.0 Å³/atom. The offset from the most stable computed form comes out at 0 meV/atom. The calculated total energy comes out at -4.753 eV per atom.

The structure belongs to space group I4/mmm (No. 139); the cell edges are 10.587, 10.587 and 4.985 Å and the angles 90.00°, 90.00° and 90.00°. The asymmetric unit holds Sm at (0.000, 0.329, 0.000), Tm at (0.164, 0.164, 0.500) and Sc at (0.000, 0.000, 0.000).

=====

First-principles (PBE-GGA) data for a geometry-optimized SmTm12Sc7 structure, as listed in the Alexandria database.

The formation energy comes out at 273.6 meV/atom. The density of states at the Fermi level comes out at 36.65 states/eV/f.u. The value obtained for the calculated volume is 29.2 Å³/atom. The offset from the most stable computed form comes out at 0 meV/atom. The calculated total energy comes out at -4.861 eV per atom.

The structure belongs to space group R-3m (No. 166, hexagonal axes); the cell edges are 15.9683, 15.9683 and 7.9298 Å and the angles 90.00°, 90.00° and 120.00°. The asymmetric unit holds Sm at (0.0000, 0.0000, 0.0000), Tm at (0.0000, 0.2821, 0.0000), Tm at (0.1109, 0.2219, 0.3179), Sc at (0.0000, 0.0000, 0.5000) and Sc at (0.1106, 0.2211, 0.7339).

=====

First-principles (PBE-GGA) data for a geometry-optimized Sm12Tm2Sc structure, as listed in the Alexandria database.

The formation energy comes out at 348.8 meV/atom. The density of states at the Fermi level comes out at 18.02 states/eV/f.u. The value obtained for the calculated volume is 34.9 Å³/atom. The calculated total energy comes out at -4.445 eV per atom.

The structure belongs to space group P4/nbm (No. 125, origin choice 2); the cell edges are 6.483, 6.483 and 24.937 Å and the angles 90.00°, 90.00° and 90.00°. The asymmetric unit holds Sm at (0.065, 0.565, 0.109), Sm at (0.082, 0.582, 0.437), Sm at (0.250, 0.250, 0.211), Sm at (0.250, 0.250, 0.335), Tm at (0.250, 0.750, 0.270) and Sc at (0.250, 0.750, 0.000).

=====

First-principles (PBE-GGA) data for a geometry-optimized Sm3Tm6Sc2 structure, as listed in the Alexandria database.

The formation energy comes out at 93.7 meV/atom. The density of states at the Fermi level comes out at 17.40 states/eV/f.u. The value obtained for the calculated volume is 30.2 Å³/atom. The calculated total energy comes out at -4.784 eV per atom.

The structure belongs to space group R-3m (No. 166, hexagonal axes); the cell edges are 5.5260, 5.5260 and 37.6234 Å and the angles 90.00°, 90.00° and 120.00°. The asymmetric unit holds Sm at (0.0000, 0.0000, 0.0000), Sm at (0.0000, 0.0000, 0.2821), Tm at (0.0000, 0.0000, 0.0941), Tm at (0.0000, 0.0000, 0.1869), Tm at (0.0000, 0.0000, 0.3773) and Sc at (0.0000, 0.0000, 0.4613).

=====

First-principles (PBE-GGA) data for a geometry-optimized SmTm6Sc3 structure, as listed in the Alexandria database.

The formation energy comes out at 162.9 meV/atom. The density of states at the Fermi level comes out at 12.19 states/eV/f.u. The value obtained for the calculated volume is 29.0 Å³/atom. The offset from the most stable computed form comes out at 120 meV/atom. The calculated total energy comes out at -4.891 eV per atom.

The structure belongs to space group Cmc2_1 (No. 36); the cell edges are 10.255, 18.501 and 6.116 Å and the angles 90.00°, 90.00° and 90.00°. The asymmetric unit holds Sm at (0.000, 0.210, 0.000), Tm at (0.000, 0.047, 0.668), Tm at (0.000, 0.310, 0.464), Tm at (0.169, 0.462, 0.315), Tm at (0.234, 0.205, 0.653), Sc at (0.000, 0.385, 0.921) and Sc at (0.191, 0.112, 0.229).